(1)
# Tb2CoSi

A geometry-optimized Tb2CoSi structure (GGA-PBE, Alexandria).

```
Tb2CoSi
1.0
-1.710 2.801 -2.437
-4.913 -2.731 0.309
0.707 5.475 5.796
Tb Co Si
4 2 2
direct
0.750 0.220 0.441 Tb
0.250 0.780 0.559 Tb
0.250 0.779 0.086 Tb
0.750 0.221 0.914 Tb
0.750 0.589 0.274 Co
0.250 0.411 0.726 Co
0.250 0.354 0.210 Si
0.750 0.646 0.790 Si
```

E above lowest polymorph (eV per atom): 0.0122
Mass density (Mg/m³): 7.86
ΔE_f (raw) (eV per atom): -0.511
SG: P2_1/m

***

(2)
# SmPbAu

A geometry-optimized SmPbAu structure (GGA-PBE, Alexandria).

```
SmPbAu
1.0
-2.984 0.151 2.168
2.794 -0.950 3.911
-0.775 4.634 -1.389
Pb Au Sm
1 1 1
direct
0.212 0.333 0.667 Pb
0.114 0.000 0.000 Au
0.674 0.667 0.333 Sm
```

Mass density (Mg/m³): 12.00
SG: P3m1
E_form (eV per atom): -0.56

***

(3)
# LiHgH3

A geometry-optimized LiHgH3 structure (GGA-PBE, Alexandria).

```
LiHgH3
1.0
3.647 0.000 0.000
0.000 3.647 0.000
0.000 0.000 3.647
H Hg Li
3 1 1
direct
0.000 0.500 0.000 H
0.000 0.000 0.500 H
0.500 0.000 0.000 H
0.500 0.500 0.500 Hg
0.000 0.000 0.000 Li
```

E above lowest polymorph (eV per atom): 0.2991
Mass density (Mg/m³): 7.21
SG: Pm-3m

***

(4)
# Pm8AsS6

A geometry-optimized Pm8AsS6 structure (GGA-PBE, Alexandria).

```
Pm8AsS6
1.0
4.124 0.000 0.000
0.000 8.921 -5.150
0.000 0.000 10.301
Pm As S
8 1 6
direct
0.742 0.968 0.295 Pm
0.742 0.705 0.673 Pm
0.742 0.327 0.032 Pm
0.258 0.032 0.705 Pm
0.258 0.295 0.327 Pm
0.258 0.673 0.968 Pm
0.748 0.333 0.667 Pm
0.252 0.667 0.333 Pm
0.500 0.000 0.000 As
0.753 0.652 0.134 S
0.753 0.866 0.518 S
0.753 0.482 0.348 S
0.247 0.348 0.866 S
0.247 0.134 0.482 S
0.247 0.518 0.652 S
```

Mass density (Mg/m³): 6.25
ΔE_f (raw) (eV per atom): -1.572
SG: P-3

***

(5)
# CaIrPb3

A geometry-optimized CaIrPb3 structure (GGA-PBE, Alexandria).

```
CaIrPb3
1.0
-1.546 1.279 -5.283
3.509 -3.960 -1.986
-4.151 -3.824 0.289
Pb Ca Ir
3 1 1
direct
0.000 0.500 0.000 Pb
0.000 0.000 0.500 Pb
0.500 0.000 0.000 Pb
0.000 0.000 0.000 Ca
0.500 0.500 0.500 Ir
```

E above lowest polymorph (eV per atom): 1.3527
Mass density (Mg/m³): 7.86
SG: Pm-3m
E_form (eV per atom): 1.51

***

(6)
# NaCdPd14

A geometry-optimized NaCdPd14 structure (GGA-PBE, Alexandria).

```
NaCdPd14
1.0
5.613 -0.012 0.000
0.012 5.613 0.000
0.000 0.000 8.029
Na Cd Pd
1 1 14
direct
0.375 0.375 0.500 Na
0.875 0.875 0.500 Cd
0.875 0.875 0.000 Pd
0.375 0.375 0.000 Pd
0.875 0.375 0.500 Pd
0.875 0.375 0.000 Pd
0.375 0.875 0.500 Pd
0.375 0.875 0.000 Pd
0.625 0.125 0.246 Pd
0.625 0.125 0.754 Pd
0.125 0.625 0.246 Pd
0.125 0.625 0.754 Pd
0.625 0.625 0.246 Pd
0.625 0.625 0.754 Pd
0.125 0.125 0.246 Pd
0.125 0.125 0.754 Pd
```

Mass density (Mg/m³): 10.67
SG: P4/mmm
E_form (eV per atom): -0.05

***

(7)
# InGe2Pb2

A geometry-optimized InGe2Pb2 structure (GGA-PBE, Alexandria).

```
InGe2Pb2
1.0
-4.639 6.721 -3.795
-6.916 -5.586 -1.437
-1.287 0.816 3.019
Pb Ge In
4 4 2
direct
0.347 0.847 0.000 Pb
0.847 0.653 0.000 Pb
0.653 0.153 0.000 Pb
0.153 0.347 0.000 Pb
0.139 0.639 0.500 Ge
0.639 0.861 0.500 Ge
0.861 0.361 0.500 Ge
0.361 0.139 0.500 Ge
0.000 0.000 0.000 In
0.500 0.500 0.000 In
```

E above lowest polymorph (eV per atom): 0.0979
Mass density (Mg/m³): 8.17
SG: P4/mbm
E_form (eV per atom): 0.25

***

(8)
# CaCePrMg

A geometry-optimized CaCePrMg structure (GGA-PBE, Alexandria).

```
CaCePrMg
1.0
5.686 0.000 0.000
2.843 4.925 0.000
2.843 1.642 4.643
Pr Ca Mg Ce
1 1 1 1
direct
0.250 0.250 0.250 Pr
0.750 0.750 0.750 Ca
0.000 0.000 0.000 Mg
0.500 0.500 0.500 Ce
```

Mass density (Mg/m³): 4.41
SG: F-43m
E_form (eV per atom): 0.20

***

(9)
# CeYSc

A geometry-optimized CeYSc structure (GGA-PBE, Alexandria).

```
CeYSc
1.0
1.000 5.610 -3.072
2.939 -2.778 -4.117
-8.143 -3.132 -3.700
Ce Y Sc
4 4 4
direct
0.986 0.791 0.927 Ce
0.486 0.709 0.927 Ce
0.514 0.291 0.073 Ce
0.014 0.209 0.073 Ce
0.884 0.690 0.268 Y
0.384 0.810 0.268 Y
0.616 0.190 0.732 Y
0.116 0.310 0.732 Y
0.797 0.181 0.419 Sc
0.297 0.319 0.419 Sc
0.703 0.681 0.581 Sc
0.203 0.819 0.581 Sc
```

E above lowest polymorph (eV per atom): 0.0332
Mass density (Mg/m³): 5.29
SG: P2_1/c
E_form (eV per atom): 0.11

***

(10)
# ZnCoPb

A geometry-optimized ZnCoPb structure (GGA-PBE, Alexandria).

```
ZnCoPb
1.0
-1.132 5.490 -0.574
-3.609 2.786 -3.311
0.761 -4.300 3.561
Co Pb Zn
1 1 1
direct
0.025 0.025 0.000 Co
0.348 0.348 0.000 Pb
0.627 0.627 0.000 Zn
```

E above lowest polymorph (eV per atom): 0.0377
Mass density (Mg/m³): 10.21
SG: I4mm
E_form (eV per atom): 0.31

***

(11)
# ZrMo2Pb

A geometry-optimized ZrMo2Pb structure (GGA-PBE, Alexandria).

```
ZrMo2Pb
1.0
5.432 0.002 0.005
-2.531 4.982 0.002
0.370 0.889 2.845
Mo Pb Zr
2 1 1
direct
0.000 0.000 0.000 Mo
0.500 0.000 0.500 Mo
0.000 0.500 0.500 Pb
0.500 0.500 0.000 Zr
```

Mass density (Mg/m³): 10.58
SG: C2/m
E_form (eV per atom): 0.41

***

(12)
# KPdI6

A geometry-optimized KPdI6 structure (GGA-PBE, Alexandria).

```
KPdI6
1.0
7.425 -0.580 0.419
-0.021 7.448 0.419
2.695 2.500 6.596
K Pd I
1 1 6
direct
0.500 0.500 0.500 K
0.000 0.000 0.000 Pd
0.066 0.706 0.326 I
0.706 0.066 0.326 I
0.294 0.934 0.674 I
0.934 0.294 0.674 I
0.242 0.242 0.046 I
0.758 0.758 0.954 I
```

E above lowest polymorph (eV per atom): 0.0185
Mass density (Mg/m³): 4.33
ΔE_f (raw) (eV per atom): -0.366
SG: C2/m

***

(13)
# Rb3Sr2NpTe6

A geometry-optimized Rb3Sr2NpTe6 structure (GGA-PBE, Alexandria).

```
Rb3Sr2NpTe6
1.0
-5.440 3.032 -5.354
6.753 -3.802 -2.720
-4.600 -7.155 2.734
Rb Sr Np Te
3 2 1 6
direct
0.174 0.826 0.500 Rb
0.826 0.174 0.500 Rb
0.500 0.500 0.500 Rb
0.334 0.666 0.000 Sr
0.666 0.334 0.000 Sr
0.000 0.000 0.000 Np
0.932 0.627 0.796 Te
0.766 0.766 0.205 Te
0.068 0.373 0.204 Te
0.627 0.932 0.796 Te
0.234 0.234 0.795 Te
0.373 0.068 0.204 Te
```

Mass density (Mg/m³): 4.79
ΔE_f (raw) (eV per atom): -1.155
SG: C2/m

***

(14)
# Mg2TlCd2

A geometry-optimized Mg2TlCd2 structure (GGA-PBE, Alexandria).

```
Mg2TlCd2
1.0
4.383 0.000 0.000
0.000 4.383 0.000
2.191 2.191 6.814
Tl Mg Cd
1 2 2
direct
0.000 0.000 0.000 Tl
0.750 0.250 0.500 Mg
0.250 0.750 0.500 Mg
0.396 0.396 0.207 Cd
0.604 0.604 0.793 Cd
```

E above lowest polymorph (eV per atom): 0.0910
Mass density (Mg/m³): 6.06
SG: I4/mmm
E_form (eV per atom): 0.06

***

(15)
# ThSiSn

A geometry-optimized ThSiSn structure (GGA-PBE, Alexandria).

```
ThSiSn
1.0
-1.049 -2.700 -2.851
4.019 -1.587 0.024
-0.241 -6.400 6.149
Th Sn Si
2 2 2
direct
0.250 0.904 0.193 Th
0.750 0.096 0.807 Th
0.250 0.253 0.494 Sn
0.750 0.747 0.506 Sn
0.250 0.542 0.916 Si
0.750 0.458 0.084 Si
```

Mass density (Mg/m³): 8.32
ΔE_f (raw) (eV per atom): -0.562
SG: Cmcm

***

(16)
# LiLaErTm

A geometry-optimized LiLaErTm structure (GGA-PBE, Alexandria).

```
LiLaErTm
1.0
-1.186 0.751 5.356
1.641 -3.730 3.748
4.033 1.261 3.578
Tm La Li Er
1 1 1 1
direct
0.500 0.500 0.500 Tm
0.750 0.750 0.750 La
0.000 0.000 0.000 Li
0.250 0.250 0.250 Er
```

Mass density (Mg/m³): 6.67
SG: F-43m
E_form (eV per atom): 0.16

***

(17)
# La5Sn2Hg2

A geometry-optimized La5Sn2Hg2 structure (GGA-PBE, Alexandria).

```
La5Sn2Hg2
1.0
-3.772 7.024 -2.814
-2.897 1.552 7.757
8.301 3.580 -2.191
La Sn Hg
10 4 4
direct
0.000 0.000 0.000 La
0.500 0.500 0.000 La
0.830 0.820 0.275 La
0.170 0.455 0.275 La
0.330 0.955 0.275 La
0.670 0.320 0.275 La
0.170 0.180 0.725 La
0.830 0.545 0.725 La
0.670 0.045 0.725 La
0.330 0.680 0.725 La
0.627 0.875 0.000 Sn
0.373 0.125 0.000 Sn
0.127 0.625 0.000 Sn
0.873 0.375 0.000 Sn
0.000 0.209 0.418 Hg
0.500 0.709 0.418 Hg
0.000 0.791 0.582 Hg
0.500 0.291 0.582 Hg
```

Mass density (Mg/m³): 7.49
SG: Cmce
E_form (eV per atom): -0.59

***

(18)
# Dy5ErN6

A geometry-optimized Dy5ErN6 structure (GGA-PBE, Alexandria).

```
Dy5ErN6
1.0
5.933 0.144 0.901
1.456 5.031 2.933
0.099 0.053 6.002
N Er Dy
6 1 5
direct
0.751 0.083 0.332 N
0.249 0.585 0.332 N
0.249 0.249 0.000 N
0.751 0.751 0.000 N
0.751 0.415 0.668 N
0.249 0.917 0.668 N
0.000 0.000 0.000 Er
0.500 0.166 0.667 Dy
0.000 0.333 0.333 Dy
0.500 0.500 0.000 Dy
0.000 0.667 0.667 Dy
0.500 0.834 0.333 Dy
```

Mass density (Mg/m³): 10.00
ΔE_f (raw) (eV per atom): -1.719
SG: C2/m

***

(19)
# Nd2PuVN5

A geometry-optimized Nd2PuVN5 structure (GGA-PBE, Alexandria).

```
Nd2PuVN5
1.0
-1.932 2.556 -1.316
-1.766 -0.093 6.972
7.640 6.820 2.027
Nd Pu V N
4 2 2 10
direct
0.860 0.721 0.797 Nd
0.110 0.221 0.695 Nd
0.140 0.279 0.297 Nd
0.890 0.779 0.195 Nd
0.793 0.587 0.507 Pu
0.207 0.413 0.007 Pu
0.506 0.011 0.965 V
0.494 0.989 0.465 V
0.376 0.752 0.008 N
0.690 0.381 0.877 N
0.493 0.986 0.796 N
0.285 0.571 0.646 N
0.959 0.919 0.533 N
0.624 0.248 0.508 N
0.310 0.619 0.377 N
0.507 0.014 0.296 N
0.715 0.429 0.146 N
0.041 0.081 0.033 N
```

Mass density (Mg/m³): 8.60
ΔE_f (raw) (eV per atom): -1.196
SG: Cmc2_1

***

(20)
# AlGaNiPd

A geometry-optimized AlGaNiPd structure (GGA-PBE, Alexandria).

```
AlGaNiPd
1.0
-0.997 0.371 -2.779
0.018 -2.949 -0.400
-5.753 -0.309 2.023
Al Ga Ni Pd
1 1 1 1
direct
0.000 0.000 0.376 Al
0.000 0.000 0.834 Ga
0.500 0.500 0.605 Ni
0.500 0.500 0.113 Pd
```

E above lowest polymorph (eV per atom): 0.0000
Mass density (Mg/m³): 8.04
SG: P4mm
E_form (eV per atom): -0.61

***

(21)
# Er5Si2Te2

A geometry-optimized Er5Si2Te2 structure (GGA-PBE, Alexandria).

```
Er5Si2Te2
1.0
7.243 0.000 2.629
0.000 7.747 0.000
1.051 0.000 8.398
Er Si Te
10 4 4
direct
0.000 0.000 0.000 Er
0.500 0.500 0.000 Er
0.460 0.165 0.753 Er
0.787 0.835 0.753 Er
0.287 0.665 0.753 Er
0.960 0.335 0.753 Er
0.540 0.835 0.247 Er
0.213 0.165 0.247 Er
0.713 0.335 0.247 Er
0.040 0.665 0.247 Er
0.136 0.366 0.000 Si
0.864 0.634 0.000 Si
0.364 0.866 0.000 Si
0.636 0.134 0.000 Si
0.206 0.000 0.589 Te
0.706 0.500 0.589 Te
0.794 0.000 0.411 Te
0.294 0.500 0.411 Te
```

Mass density (Mg/m³): 8.47
ΔE_f (raw) (eV per atom): -0.979
SG: Cmce

***

(22)
# YSc2Bi3

A geometry-optimized YSc2Bi3 structure (GGA-PBE, Alexandria).

```
YSc2Bi3
1.0
-4.636 -2.341 3.302
1.589 -7.836 -3.326
8.235 -2.488 9.798
Y Sc Bi
4 8 12
direct
0.250 0.874 0.078 Y
0.250 0.374 0.422 Y
0.750 0.626 0.578 Y
0.750 0.126 0.922 Y
0.251 0.875 0.756 Sc
0.251 0.375 0.744 Sc
0.250 0.875 0.414 Sc
0.250 0.375 0.086 Sc
0.750 0.625 0.914 Sc
0.750 0.125 0.586 Sc
0.749 0.625 0.256 Sc
0.749 0.125 0.244 Sc
0.250 0.636 0.587 Bi
0.250 0.136 0.913 Bi
0.250 0.613 0.912 Bi
0.250 0.113 0.588 Bi
0.249 0.625 0.251 Bi
0.249 0.125 0.249 Bi
0.751 0.875 0.751 Bi
0.751 0.375 0.749 Bi
0.750 0.887 0.412 Bi
0.750 0.387 0.088 Bi
0.750 0.864 0.087 Bi
0.750 0.364 0.413 Bi
```

Mass density (Mg/m³): 7.70
SG: P2_1/c
E_form (eV per atom): -0.73